1.
The following is a DFT calculation (PBE) of a geometry-optimized Li2Ag3Pd8 structure.

Crystal system ... trigonal
ΔE_f ... 2 kJ/mol of atoms
Energy relative to the lowest polymorph listed for this composition ... 2 meV/atom
D(E_F) ... 0.66 states/eV per atom

a b c (Å): 5.2265 5.2265 28.4556
angles (deg): 90.00 90.00 120.00
Space group R-3m (No. 166, hexagonal axes)
Unique sites:
Li (0.0000, 0.0000, 0.1448) [6 per cell]
Ag (0.0000, 0.0000, 0.3215) [6 per cell]
Ag (0.0000, 0.0000, 0.5000) [3 per cell]
Pd (0.0000, 0.0000, 0.2274) [6 per cell]
Pd (0.0000, 0.5000, 0.2604) [18 per cell]



2.
The following is a DFT calculation (PBE) of a geometry-optimized Li3Ag4Pd structure.

Crystal system ... orthorhombic
ΔE_f ... -20 kJ/mol of atoms
Energy relative to the lowest polymorph listed for this composition ... 0 meV/atom
D(E_F) ... 0.25 states/eV per atom

a b c (Å): 9.180 5.987 4.735
angles (deg): 90.00 90.00 90.00
Space group Pmma (No. 51)
Unique sites:
Li (0.000, 0.000, 0.000) [2 per cell]
Li (0.250, 0.000, 0.384) [2 per cell]
Li (0.250, 0.500, 0.365) [2 per cell]
Ag (0.000, 0.246, 0.500) [4 per cell]
Ag (0.250, 0.246, 0.878) [4 per cell]
Pd (0.000, 0.500, 0.000) [2 per cell]



3.
The following is a DFT calculation (PBE) of a geometry-optimized Li6Ag5Pd structure.

Crystal system ... monoclinic
ΔE_f ... -24 kJ/mol of atoms
Energy relative to the lowest polymorph listed for this composition ... 0 meV/atom
D(E_F) ... 0.16 states/eV per atom

a b c (Å): 13.629 6.488 4.393
angles (deg): 90.00 106.80 90.00
Space group C2/m (No. 12)
Unique sites:
Li (0.000, 0.238, 0.000) [4 per cell]
Li (0.163, 0.244, 0.663) [8 per cell]
Ag (0.000, 0.500, 0.500) [2 per cell]
Ag (0.166, 0.500, 0.166) [4 per cell]
Ag (0.168, 0.000, 0.170) [4 per cell]
Pd (0.000, 0.000, 0.500) [2 per cell]



4.
The following is a DFT calculation (PBE) of a geometry-optimized Li5Ag3Pd3 structure.

Crystal system ... hexagonal
ΔE_f ... -7 kJ/mol of atoms
Energy relative to the lowest polymorph listed for this composition ... 17 meV/atom
D(E_F) ... 0.44 states/eV per atom

a b c (Å): 8.6329 8.6329 2.8129
angles (deg): 90.00 90.00 120.00
Space group P-62m (No. 189)
Unique sites:
Li (0.0000, 0.8335, 0.0000) [3 per cell]
Li (0.3333, 0.6667, 0.0000) [2 per cell]
Ag (0.0000, 0.5948, 0.5000) [3 per cell]
Pd (0.0000, 0.3222, 0.0000) [3 per cell]



5.
The following is a DFT calculation (PBE) of a geometry-optimized Li6Ag12Pd structure.

Crystal system ... trigonal
ΔE_f ... -12 kJ/mol of atoms
D(E_F) ... 0.30 states/eV per atom

a b c (Å): 9.5647 9.5647 12.2323
angles (deg): 90.00 90.00 120.00
Space group R-3 (No. 148, hexagonal axes)
Unique sites:
Li (0.0307, 0.4382, 0.2049) [18 per cell]
Ag (0.0257, 0.1851, 0.3144) [18 per cell]
Ag (0.0628, 0.8493, 0.9111) [18 per cell]
Pd (0.0000, 0.0000, 0.5000) [3 per cell]



6.
The following is a DFT calculation (PBE) of a geometry-optimized Li3AgPd4 structure.

Crystal system ... orthorhombic
ΔE_f ... -25 kJ/mol of atoms
Energy relative to the lowest polymorph listed for this composition ... 0 meV/atom
D(E_F) ... 0.42 states/eV per atom

a b c (Å): 5.247 8.896 5.068
angles (deg): 90.00 90.00 90.00
Space group Imm2 (No. 44)
Unique sites:
Li (0.000, 0.000, 0.000) [2 per cell]
Li (0.000, 0.246, 0.246) [4 per cell]
Ag (0.000, 0.500, 0.479) [2 per cell]
Pd (0.000, 0.239, 0.749) [4 per cell]
Pd (0.250, 0.000, 0.485) [4 per cell]



7.
The following is a DFT calculation (PBE) of a geometry-optimized LiAg2Pd2 structure.

Crystal system ... orthorhombic
ΔE_f ... -17 kJ/mol of atoms
Energy relative to the lowest polymorph listed for this composition ... 0 meV/atom
D(E_F) ... 0.40 states/eV per atom

a b c (Å): 4.034 19.732 4.010
angles (deg): 90.00 90.00 90.00
Space group Cmcm (No. 63)
Unique sites:
Li (0.000, 0.158, 0.250) [4 per cell]
Ag (0.000, 0.055, 0.750) [4 per cell]
Ag (0.000, 0.446, 0.750) [4 per cell]
Pd (0.000, 0.249, 0.750) [4 per cell]
Pd (0.000, 0.346, 0.250) [4 per cell]



8.
The following is a DFT calculation (PBE) of a geometry-optimized Li3AgPd structure.

Crystal system ... monoclinic
ΔE_f ... -29 kJ/mol of atoms
Energy relative to the lowest polymorph listed for this composition ... 0 meV/atom
D(E_F) ... 0.32 states/eV per atom

a b c (Å): 5.176 4.374 6.870
angles (deg): 90.00 104.83 90.00
Space group P2_1/m (No. 11)
Unique sites:
Li (0.138, 0.250, 0.056) [2 per cell]
Li (0.235, 0.750, 0.728) [2 per cell]
Li (0.334, 0.250, 0.458) [2 per cell]
Ag (0.459, 0.750, 0.141) [2 per cell]
Pd (0.049, 0.750, 0.339) [2 per cell]



Copy entry 6 word for word.
The following is a DFT calculation (PBE) of a geometry-optimized Li3AgPd4 structure.

Crystal system ... orthorhombic
ΔE_f ... -25 kJ/mol of atoms
Energy relative to the lowest polymorph listed for this composition ... 0 meV/atom
D(E_F) ... 0.42 states/eV per atom

a b c (Å): 5.247 8.896 5.068
angles (deg): 90.00 90.00 90.00
Space group Imm2 (No. 44)
Unique sites:
Li (0.000, 0.000, 0.000) [2 per cell]
Li (0.000, 0.246, 0.246) [4 per cell]
Ag (0.000, 0.500, 0.479) [2 per cell]
Pd (0.000, 0.239, 0.749) [4 per cell]
Pd (0.250, 0.000, 0.485) [4 per cell]



Copy entry 2 word for word.
The following is a DFT calculation (PBE) of a geometry-optimized Li3Ag4Pd structure.

Crystal system ... orthorhombic
ΔE_f ... -20 kJ/mol of atoms
Energy relative to the lowest polymorph listed for this composition ... 0 meV/atom
D(E_F) ... 0.25 states/eV per atom

a b c (Å): 9.180 5.987 4.735
angles (deg): 90.00 90.00 90.00
Space group Pmma (No. 51)
Unique sites:
Li (0.000, 0.000, 0.000) [2 per cell]
Li (0.250, 0.000, 0.384) [2 per cell]
Li (0.250, 0.500, 0.365) [2 per cell]
Ag (0.000, 0.246, 0.500) [4 per cell]
Ag (0.250, 0.246, 0.878) [4 per cell]
Pd (0.000, 0.500, 0.000) [2 per cell]



ΔE_f of number 1 (Li2Ag3Pd8)? 2 kJ/mol of atoms